# CaCd2Pt

A relaxed structure of CaCd2Pt (PBE, Alexandria).

Calculated volume = 22.3 Å³/atom
Formation energy from the elements = -0.42 eV per atom

a = 3.5331 Å, b = 3.5331 Å, c = 7.1473 Å
α = 90.00°, β = 90.00°, γ = 90.00°
Last column: nearest neighbours and their distance in Å.
Space group P4mm (No. 99)
Symmetry-distinct sites (fractional):
Ca1 0.0000 0.0000 0.0000  4 Pt 3.03, 5 Cd 3.13-3.37
Cd1 0.0000 0.0000 0.5622  4 Pt 2.87, 4 Cd 3.05, 1 Ca 3.13
Cd2 0.5000 0.5000 0.3172  4 Cd 3.05, 1 Pt 3.16, 4 Ca 3.37
Pt1 0.5000 0.5000 0.7600  5 Cd 2.87-3.16, 4 Ca 3.03